## P
{"formula": "RbAc2Te3", "functional": "PBE", "state": "optimized geometry", "lattice_angstrom": [[4.794, 0.000, 0.000], [-2.397, 4.152, 0.000], [0.000, 0.000, 25.170]], "species": ["Rb", "Rb", "Ac", "Ac", "Ac", "Ac", "Te", "Te", "Te", "Te", "Te", "Te"], "frac_coords": [[0.000, 0.000, 0.250], [0.000, 0.000, 0.750], [0.333, 0.667, 0.078], [0.333, 0.667, 0.422], [0.667, 0.333, 0.578], [0.667, 0.333, 0.922], [0.000, 0.000, 0.000], [0.000, 0.000, 0.500], [0.333, 0.667, 0.651], [0.333, 0.667, 0.849], [0.667, 0.333, 0.151], [0.667, 0.333, 0.349]], "density_g_cm3": 6.114}


## Q
{"formula": "RbAc2Te3", "functional": "PBE", "state": "optimized geometry", "lattice_angstrom": [[4.124, 0.000, 0.000], [0.000, 4.124, 0.000], [0.000, 0.000, 12.993]], "species": ["Rb", "Ac", "Ac", "Te", "Te", "Te"], "frac_coords": [[0.000, 0.000, 0.000], [0.000, 0.000, 0.333], [0.000, 0.000, 0.667], [0.500, 0.500, 0.196], [0.500, 0.500, 0.500], [0.500, 0.500, 0.804]], "density_g_cm3": 6.930}


Most stable: P


## P
{"formula": "RbAcTl", "functional": "PBE", "state": "optimized geometry", "lattice_angstrom": [[0.000, 4.527, 8.451], [3.977, 0.000, 8.451], [3.977, 4.527, 0.000]], "species": ["Rb", "Rb", "Ac", "Ac", "Tl", "Tl"], "frac_coords": [[0.208, 0.792, 0.208], [0.792, 0.208, 0.792], [0.250, 0.250, 0.250], [0.750, 0.750, 0.750], [0.345, 0.345, 0.655], [0.655, 0.655, 0.345]], "density_g_cm3": 5.641}


## Q
{"formula": "RbAcTl", "functional": "PBE", "state": "optimized geometry", "lattice_angstrom": [[4.246, 0.000, 0.000], [0.000, 4.246, 0.000], [0.000, 0.000, 16.027]], "species": ["Rb", "Rb", "Ac", "Ac", "Tl", "Tl"], "frac_coords": [[0.000, 0.000, 0.000], [0.500, 0.500, 0.500], [0.000, 0.000, 0.265], [0.500, 0.500, 0.765], [0.000, 0.000, 0.663], [0.500, 0.500, 0.163]], "density_g_cm3": 5.940}


Most stable: Q


## P
{"formula": "AcReSi2", "functional": "PBE", "state": "optimized geometry", "lattice_angstrom": [[4.933, 0.000, 0.000], [-2.467, 4.272, 0.000], [0.000, 0.000, 11.208]], "species": ["Ac", "Ac", "Ac", "Re", "Re", "Re", "Si", "Si", "Si", "Si", "Si", "Si"], "frac_coords": [[0.000, 0.000, 0.000], [0.333, 0.667, 0.667], [0.667, 0.333, 0.333], [0.000, 0.000, 0.500], [0.333, 0.667, 0.167], [0.667, 0.333, 0.833], [0.000, 0.000, 0.264], [0.000, 0.000, 0.736], [0.333, 0.667, 0.403], [0.333, 0.667, 0.931], [0.667, 0.333, 0.069], [0.667, 0.333, 0.597]], "density_g_cm3": 9.899}


## Q
{"formula": "AcReSi2", "functional": "PBE", "state": "optimized geometry", "lattice_angstrom": [[3.249, 0.000, 0.000], [0.000, 3.249, 0.000], [0.000, 0.000, 7.233]], "species": ["Ac", "Re", "Si", "Si"], "frac_coords": [[0.000, 0.000, 0.000], [0.000, 0.000, 0.500], [0.500, 0.500, 0.321], [0.500, 0.500, 0.679]], "density_g_cm3": 10.208}


## R
{"formula": "AcReSi2", "functional": "PBE", "state": "optimized geometry", "lattice_angstrom": [[7.295, 0.000, 0.000], [0.000, 4.373, 0.000], [0.000, 0.000, 10.591]], "species": ["Ac", "Ac", "Ac", "Ac", "Re", "Re", "Re", "Re", "Si", "Si", "Si", "Si", "Si", "Si", "Si", "Si"], "frac_coords": [[0.151, 0.250, 0.121], [0.349, 0.750, 0.621], [0.651, 0.250, 0.379], [0.849, 0.750, 0.879], [0.010, 0.750, 0.389], [0.490, 0.250, 0.889], [0.510, 0.750, 0.111], [0.990, 0.250, 0.611], [0.168, 0.250, 0.804], [0.169, 0.250, 0.417], [0.331, 0.750, 0.917], [0.332, 0.750, 0.304], [0.668, 0.250, 0.696], [0.669, 0.250, 0.083], [0.831, 0.750, 0.583], [0.832, 0.750, 0.196]], "density_g_cm3": 9.228}


Most stable: R


## P
{"formula": "AcTh2Re", "functional": "PBE", "state": "optimized geometry", "lattice_angstrom": [[3.591, 0.000, 0.000], [0.000, 3.591, 0.000], [0.000, 0.000, 9.286]], "species": ["Ac", "Th", "Th", "Re"], "frac_coords": [[0.000, 0.000, 0.000], [0.500, 0.500, 0.311], [0.500, 0.500, 0.689], [0.000, 0.000, 0.500]], "density_g_cm3": 12.164}


## Q
{"formula": "AcTh2Re", "functional": "PBE", "state": "optimized geometry", "lattice_angstrom": [[4.059, 0.000, 0.000], [-2.030, 3.515, 0.000], [0.000, 0.000, 31.993]], "species": ["Ac", "Ac", "Ac", "Th", "Th", "Th", "Th", "Th", "Th", "Re", "Re", "Re"], "frac_coords": [[0.000, 0.000, 0.000], [0.333, 0.667, 0.667], [0.667, 0.333, 0.333], [0.000, 0.000, 0.118], [0.000, 0.000, 0.882], [0.333, 0.667, 0.548], [0.333, 0.667, 0.785], [0.667, 0.333, 0.215], [0.667, 0.333, 0.452], [0.000, 0.000, 0.500], [0.333, 0.667, 0.167], [0.667, 0.333, 0.833]], "density_g_cm3": 9.573}


Most stable: P


## P
{"formula": "Ac3Rh", "functional": "PBE", "state": "optimized geometry", "lattice_angstrom": [[7.882, 0.000, 0.000], [0.000, 11.401, 0.000], [0.000, 0.000, 7.183]], "species": ["Ac", "Ac", "Ac", "Ac", "Ac", "Ac", "Ac", "Ac", "Ac", "Ac", "Ac", "Ac", "Rh", "Rh", "Rh", "Rh"], "frac_coords": [[0.066, 0.250, 0.139], [0.178, 0.078, 0.658], [0.178, 0.422, 0.658], [0.322, 0.578, 0.158], [0.322, 0.922, 0.158], [0.434, 0.750, 0.639], [0.566, 0.250, 0.361], [0.678, 0.078, 0.842], [0.678, 0.422, 0.842], [0.822, 0.578, 0.342], [0.822, 0.922, 0.342], [0.934, 0.750, 0.861], [0.000, 0.000, 0.000], [0.000, 0.500, 0.000], [0.500, 0.000, 0.500], [0.500, 0.500, 0.500]], "density_g_cm3": 8.066}


## Q
{"formula": "Ac3Rh", "functional": "PBE", "state": "optimized geometry", "lattice_angstrom": [[4.004, 0.000, 0.000], [0.000, 11.018, 0.000], [0.000, 0.000, 6.773]], "species": ["Ac", "Ac", "Ac", "Ac", "Ac", "Ac", "Rh", "Rh"], "frac_coords": [[0.000, 0.000, 0.000], [0.000, 0.182, 0.504], [0.000, 0.818, 0.504], [0.500, 0.318, 0.004], [0.500, 0.500, 0.500], [0.500, 0.682, 0.004], [0.000, 0.500, 0.178], [0.500, 0.000, 0.678]], "density_g_cm3": 8.714}


## R
{"formula": "Ac3Rh", "functional": "PBE", "state": "optimized geometry", "lattice_angstrom": [[-6.429, 6.429, 3.343], [6.429, -6.429, 3.343], [6.429, 6.429, -3.343]], "species": ["Ac", "Ac", "Ac", "Ac", "Ac", "Ac", "Ac", "Ac", "Ac", "Ac", "Ac", "Ac", "Rh", "Rh", "Rh", "Rh"], "frac_coords": [[0.094, 0.595, 0.692], [0.109, 0.250, 0.859], [0.242, 0.741, 0.104], [0.259, 0.362, 0.500], [0.391, 0.250, 0.141], [0.405, 0.098, 0.500], [0.598, 0.906, 0.500], [0.638, 0.138, 0.896], [0.750, 0.609, 0.859], [0.750, 0.891, 0.141], [0.862, 0.758, 0.500], [0.902, 0.402, 0.308], [0.250, 0.057, 0.806], [0.251, 0.444, 0.194], [0.556, 0.750, 0.807], [0.943, 0.749, 0.193]], "density_g_cm3": 9.420}


## S
{"formula": "Ac3Rh", "functional": "PBE", "state": "optimized geometry", "lattice_angstrom": [[3.931, 0.000, 0.000], [0.000, 3.937, 0.000], [0.000, 0.000, 10.005]], "species": ["Ac", "Ac", "Ac", "Rh"], "frac_coords": [[0.000, 0.000, 0.000], [0.000, 0.500, 0.350], [0.500, 0.500, 0.704], [0.500, 0.000, 0.222]], "density_g_cm3": 8.406}


Most stable: P


## P
{"formula": "Ac6RuRh3", "functional": "PBE", "state": "optimized geometry", "lattice_angstrom": [[12.530, 0.000, 0.000], [0.000, 4.317, 0.000], [-4.572, 0.000, 11.681]], "species": ["Ac", "Ac", "Ac", "Ac", "Ac", "Ac", "Ac", "Ac", "Ac", "Ac", "Ac", "Ac", "Ru", "Ru", "Rh", "Rh", "Rh", "Rh", "Rh", "Rh"], "frac_coords": [[0.048, 0.250, 0.393], [0.106, 0.250, 0.940], [0.246, 0.750, 0.268], [0.290, 0.750, 0.750], [0.402, 0.250, 0.552], [0.430, 0.750, 0.102], [0.570, 0.250, 0.898], [0.598, 0.750, 0.448], [0.710, 0.250, 0.250], [0.754, 0.250, 0.732], [0.894, 0.750, 0.060], [0.952, 0.750, 0.607], [0.454, 0.250, 0.303], [0.546, 0.750, 0.697], [0.064, 0.250, 0.165], [0.206, 0.750, 0.498], [0.338, 0.250, 0.917], [0.662, 0.750, 0.083], [0.794, 0.250, 0.502], [0.936, 0.750, 0.835]], "density_g_cm3": 9.311}


## Q
{"formula": "Ac6RuRh3", "functional": "PBE", "state": "optimized geometry", "lattice_angstrom": [[7.326, 0.000, 0.000], [0.000, 7.924, 0.000], [-7.098, 0.000, 10.912]], "species": ["Ac", "Ac", "Ac", "Ac", "Ac", "Ac", "Ac", "Ac", "Ac", "Ac", "Ac", "Ac", "Ru", "Ru", "Rh", "Rh", "Rh", "Rh", "Rh", "Rh"], "frac_coords": [[0.088, 0.066, 0.250], [0.088, 0.434, 0.750], [0.258, 0.676, 0.082], [0.258, 0.824, 0.582], [0.398, 0.179, 0.067], [0.398, 0.321, 0.567], [0.602, 0.679, 0.433], [0.602, 0.821, 0.933], [0.742, 0.176, 0.418], [0.742, 0.324, 0.918], [0.912, 0.566, 0.250], [0.912, 0.934, 0.750], [0.500, 0.000, 0.500], [0.500, 0.500, 0.000], [0.000, 0.000, 0.000], [0.000, 0.500, 0.500], [0.304, 0.100, 0.772], [0.304, 0.400, 0.272], [0.696, 0.600, 0.728], [0.696, 0.900, 0.228]], "density_g_cm3": 9.288}


Most stable: P


## P
{"formula": "Ac6Ru2Rh", "functional": "PBE", "state": "optimized geometry", "lattice_angstrom": [[9.084, -2.180, 0.000], [9.084, 2.180, 0.000], [-1.287, 0.000, 8.187]], "species": ["Ac", "Ac", "Ac", "Ac", "Ac", "Ac", "Ru", "Ru", "Rh"], "frac_coords": [[0.004, 0.004, 0.246], [0.330, 0.330, 0.426], [0.334, 0.334, 0.907], [0.666, 0.666, 0.093], [0.670, 0.670, 0.574], [0.996, 0.996, 0.754], [0.165, 0.165, 0.330], [0.835, 0.835, 0.670], [0.500, 0.500, 0.000]], "density_g_cm3": 8.536}


## Q
{"formula": "Ac6Ru2Rh", "functional": "PBE", "state": "optimized geometry", "lattice_angstrom": [[7.717, -2.175, 0.000], [7.717, 2.175, 0.000], [-1.355, 0.000, 9.833]], "species": ["Ac", "Ac", "Ac", "Ac", "Ac", "Ac", "Ru", "Ru", "Rh"], "frac_coords": [[0.048, 0.048, 0.302], [0.223, 0.223, 0.660], [0.366, 0.366, 0.025], [0.634, 0.634, 0.975], [0.777, 0.777, 0.340], [0.952, 0.952, 0.698], [0.195, 0.195, 0.175], [0.805, 0.805, 0.825], [0.000, 0.000, 0.000]], "density_g_cm3": 8.385}


Most stable: P


## P
{"formula": "Ac6RuRh", "functional": "PBE", "state": "optimized geometry", "lattice_angstrom": [[7.335, 0.000, 0.000], [0.000, 12.533, 0.000], [-2.322, 0.000, 6.955]], "species": ["Ac", "Ac", "Ac", "Ac", "Ac", "Ac", "Ac", "Ac", "Ac", "Ac", "Ac", "Ac", "Ru", "Ru", "Rh", "Rh"], "frac_coords": [[0.243, 0.162, 0.249], [0.243, 0.838, 0.249], [0.247, 0.500, 0.245], [0.253, 0.000, 0.755], [0.257, 0.338, 0.751], [0.257, 0.662, 0.751], [0.743, 0.338, 0.249], [0.743, 0.662, 0.249], [0.747, 0.000, 0.245], [0.753, 0.500, 0.755], [0.757, 0.162, 0.751], [0.757, 0.838, 0.751], [0.000, 0.000, 0.000], [0.500, 0.500, 0.000], [0.000, 0.500, 0.500], [0.500, 0.000, 0.500]], "density_g_cm3": 8.133}


## Q
{"formula": "Ac6RuRh", "functional": "PBE", "state": "optimized geometry", "lattice_angstrom": [[3.631, 2.096, 6.949], [-3.631, 2.096, 6.949], [0.000, -4.193, 6.949]], "species": ["Ac", "Ac", "Ac", "Ac", "Ac", "Ac", "Ru", "Rh"], "frac_coords": [[0.089, 0.749, 0.415], [0.251, 0.585, 0.911], [0.415, 0.089, 0.749], [0.585, 0.911, 0.251], [0.749, 0.415, 0.089], [0.911, 0.251, 0.585], [0.500, 0.500, 0.500], [0.000, 0.000, 0.000]], "density_g_cm3": 8.193}


Most stable: Q